Record 1
A plane-wave DFT calculation with PBE-GGA was carried out for TcHSe2 after structural relaxation.

Calculated values
- Space group: C2/m (12)
- ΔE to the lowest computed polymorph: 334 meV/atom

The structure in CIF format:
```
data_TcHSe2
_symmetry_space_group_name_H-M 'P 1'
_symmetry_Int_Tables_number 1
_symmetry_space_group_name_Hall 'P 1'
_cell_length_a 3.230
_cell_length_b 3.230
_cell_length_c 6.722
_cell_angle_alpha 103.62
_cell_angle_beta 103.62
_cell_angle_gamma 60.03
loop_
_atom_site_label
_atom_site_fract_x
_atom_site_fract_y
_atom_site_fract_z
_atom_site_occupancy
Tc1 0.000 0.000 0.000 1
H1 0.500 0.500 0.500 1
Se1 0.246 0.246 0.732 1
Se2 0.754 0.754 0.268 1
```

=====

Record 2
A plane-wave DFT calculation with PBE-GGA was carried out for HoNpSb2 after structural relaxation.

Calculated values
- Space group: P4/mmm (123)
- ΔE to the lowest computed polymorph: 211 meV/atom

The structure in CIF format:
```
data_HoNpSb2
_symmetry_space_group_name_H-M 'P 1'
_symmetry_Int_Tables_number 1
_symmetry_space_group_name_Hall 'P 1'
_cell_length_a 5.273
_cell_length_b 5.273
_cell_length_c 3.819
_cell_angle_alpha 90.00
_cell_angle_beta 90.00
_cell_angle_gamma 90.00
loop_
_atom_site_label
_atom_site_fract_x
_atom_site_fract_y
_atom_site_fract_z
_atom_site_occupancy
Ho1 0.000 0.000 0.000 1
Np1 0.500 0.500 0.000 1
Sb1 0.000 0.500 0.500 1
Sb2 0.500 0.000 0.500 1
```

=====

One value per record, in order, for E: -5.018 -6.878 eV/atom.
One value per record, in order, for V: 14.61 26.54 A^3/atom.
One value per record, in order, for N(E_F): 0.231 3.155 states/eV/atom.